DFT (PBE with a Hubbard U) results for a relaxed structure of MnCo3F.

E_tot in eV per atom: -4.570
Excess energy over the best structure of this formula in the dataset in meV/atom: 0.0
DOS(E_F) in states/eV/f.u.: 4.7
Magnetization in μB per cell: 9.825

a = 4.129 Å, b = 4.129 Å, c = 4.129 Å
α = 90.00°, β = 90.00°, γ = 90.00°
Atoms (fractional coordinates):
1 Co 0.000 0.000 0.500
2 Co 0.000 0.500 0.000
3 Co 0.500 0.000 0.000
4 Mn 0.500 0.500 0.500
5 F 0.000 0.000 0.000